Crystalline Nd3Ni6Sn5 at its relaxed geometry, computed with PBE.

Results
E in eV per atom: -5.427
D(E_F) in states/eV/atom: 0.697

abc: 4.345 13.114 9.679
angles: 90.00 90.00 90.00
Fractional positions:
Nd1 0.250 0.065 0.249
Nd2 0.250 0.435 0.249
Nd3 0.250 0.750 0.268
Nd4 0.750 0.250 0.732
Nd5 0.750 0.565 0.751
Nd6 0.750 0.935 0.751
Ni1 0.250 0.076 0.877
Ni2 0.250 0.250 0.463
Ni3 0.250 0.250 0.989
Ni4 0.250 0.424 0.877
Ni5 0.250 0.614 0.519
Ni6 0.250 0.886 0.519
Ni7 0.750 0.114 0.481
Ni8 0.750 0.386 0.481
Ni9 0.750 0.576 0.123
Ni10 0.750 0.750 0.011
Ni11 0.750 0.750 0.537
Ni12 0.750 0.924 0.123
Sn1 0.250 0.080 0.607
Sn2 0.250 0.420 0.607
Sn3 0.250 0.618 0.988
Sn4 0.250 0.750 0.705
Sn5 0.250 0.882 0.988
Sn6 0.750 0.118 0.012
Sn7 0.750 0.250 0.295
Sn8 0.750 0.382 0.012
Sn9 0.750 0.580 0.393
Sn10 0.750 0.920 0.393

Crystalline Dy3Y8Er3 at its relaxed geometry, computed with PBE.

Results
E in eV per atom: -5.534
D(E_F) in states/eV/atom: 1.619

abc: 9.608 9.608 9.608
angles: 145.98 111.83 78.42
Fractional positions:
Dy1 0.000 0.000 0.000
Dy2 0.180 0.680 0.500
Dy3 0.820 0.320 0.500
Y1 0.120 0.278 0.842
Y2 0.238 0.897 0.342
Y3 0.436 0.278 0.158
Y4 0.445 0.103 0.342
Y5 0.555 0.897 0.658
Y6 0.564 0.722 0.842
Y7 0.762 0.103 0.658
Y8 0.880 0.722 0.158
Er1 0.202 0.500 0.702
Er2 0.500 0.500 0.000
Er3 0.798 0.500 0.298

Crystalline ReHg2I at its relaxed geometry, computed with PBE.

Results
E in eV per atom: -2.459
D(E_F) in states/eV/atom: 0.453
ΔE to the lowest computed polymorph in eV/f.u.: 0.00

abc: 5.305 5.305 18.833
angles: 90.00 90.00 90.00
Fractional positions:
Re1 0.000 0.000 0.000
Re2 0.000 0.500 0.250
Re3 0.500 0.000 0.750
Re4 0.500 0.500 0.500
Hg1 0.126 0.250 0.125
Hg2 0.250 0.626 0.375
Hg3 0.250 0.874 0.875
Hg4 0.374 0.250 0.625
Hg5 0.626 0.750 0.625
Hg6 0.750 0.126 0.875
Hg7 0.750 0.374 0.375
Hg8 0.874 0.750 0.125
I1 0.000 0.000 0.500
I2 0.000 0.500 0.750
I3 0.500 0.000 0.250
I4 0.500 0.500 0.000

Crystalline Zr2TiGa at its relaxed geometry, computed with PBE.

Results
E in eV per atom: -7.247
D(E_F) in states/eV/atom: 1.425

abc: 3.589 3.589 6.101
angles: 90.00 90.00 90.00
Fractional positions:
Zr1 0.000 0.000 0.247
Zr2 0.000 0.000 0.753
Ti1 0.500 0.500 0.500
Ga1 0.500 0.500 0.000

Crystalline Sb2H3Pd8 at its relaxed geometry, computed with PBE.

Results
E in eV per atom: -4.795
D(E_F) in states/eV/atom: 0.425

abc: 7.190 7.190 4.498
angles: 107.27 107.27 58.93
Fractional positions:
Sb1 0.225 0.225 0.483
Sb2 0.775 0.775 0.517
H1 0.156 0.844 0.000
H2 0.500 0.500 0.500
H3 0.844 0.156 0.000
Pd1 0.099 0.099 0.856
Pd2 0.211 0.631 0.662
Pd3 0.354 0.354 0.107
Pd4 0.369 0.789 0.338
Pd5 0.631 0.211 0.662
Pd6 0.646 0.646 0.893
Pd7 0.789 0.369 0.338
Pd8 0.901 0.901 0.144